# 1
# Er6Zn5Pt

An optimized crystal structure of Er6Zn5Pt (PBE-GGA, Alexandria).

Geometry as POSCAR:
```
Er6Zn5Pt
1.0
-2.7650 -3.1659 -2.6672
5.2611 -0.7038 -4.6186
1.3347 -7.2974 2.6324
Zn Pt Er
5 1 6
direct
0.6684 0.5000 0.6632 Zn
0.3256 0.0000 0.3487 Zn
0.0000 0.5000 0.0000 Zn
0.6744 0.0000 0.6513 Zn
0.3316 0.5000 0.3368 Zn
0.0000 0.0000 0.0000 Pt
0.8367 0.7519 0.3267 Er
0.8367 0.2481 0.3267 Er
0.5000 0.2436 0.0000 Er
0.5000 0.7564 0.0000 Er
0.1633 0.7519 0.6733 Er
0.1633 0.2481 0.6733 Er
```

Calculated values
The total energy comes out at -3.838 eV/atom. For the formation energy, the calculation gives -0.52 eV per atom. For the calculated density, the calculation gives 9.7 Mg/m³. The symmetry is Cmmm, No. 65.


# 2
# Er2Zn3Pt4

An optimized crystal structure of Er2Zn3Pt4 (PBE-GGA, Alexandria).

Geometry as POSCAR:
```
Er2Zn3Pt4
1.0
5.5811 0.0000 0.0000
0.0000 7.5777 0.0000
-2.7906 0.0000 7.5468
Er Zn Pt
4 6 8
direct
0.1099 0.5873 0.2198 Er
0.8901 0.4127 0.7802 Er
0.3901 0.0873 0.7802 Er
0.6099 0.9127 0.2198 Er
0.0000 0.0000 0.0000 Zn
0.5000 0.5000 0.0000 Zn
0.5209 0.7500 0.5418 Zn
0.9791 0.2500 0.4582 Zn
0.4791 0.2500 0.4582 Zn
0.0209 0.7500 0.5418 Zn
0.6922 0.7500 0.8844 Pt
0.8078 0.2500 0.1156 Pt
0.3078 0.2500 0.1156 Pt
0.1922 0.7500 0.8844 Pt
0.1763 0.9723 0.3527 Pt
0.8237 0.0277 0.6473 Pt
0.3237 0.4723 0.6473 Pt
0.6763 0.5277 0.3527 Pt
```

Calculated values
The total energy comes out at -5.034 eV/atom. For the formation energy, the calculation gives -0.91 eV per atom. For the calculated density, the calculation gives 13.6 Mg/m³. The symmetry is Cmce, No. 64.


# 3
# Er2Zn15Pt2

An optimized crystal structure of Er2Zn15Pt2 (PBE-GGA, Alexandria).

Geometry as POSCAR:
```
Er2Zn15Pt2
1.0
6.7793 -0.0038 -0.0033
0.8758 6.7225 -0.0033
0.8758 0.7687 6.6784
Er Zn Pt
2 15 2
direct
0.3342 0.3342 0.3342 Er
0.6658 0.6658 0.6658 Er
0.5000 0.0000 0.0000 Zn
0.0000 0.0000 0.5000 Zn
0.0000 0.5000 0.0000 Zn
0.0000 0.7118 0.2882 Zn
0.7118 0.2882 0.0000 Zn
0.2882 0.0000 0.7118 Zn
0.2882 0.7118 0.0000 Zn
0.7118 0.0000 0.2882 Zn
0.0000 0.2882 0.7118 Zn
0.1570 0.6460 0.6460 Zn
0.6460 0.6460 0.1570 Zn
0.6460 0.1570 0.6460 Zn
0.8430 0.3540 0.3540 Zn
0.3540 0.3540 0.8430 Zn
0.3540 0.8430 0.3540 Zn
0.1131 0.1131 0.1131 Pt
0.8869 0.8869 0.8869 Pt
```

Calculated values
The total energy comes out at -2.452 eV/atom. For the formation energy, the calculation gives -0.33 eV per atom. For the calculated density, the calculation gives 9.3 Mg/m³. The symmetry is R-3m, No. 166.


# 4
# ErZn3Pt4

An optimized crystal structure of ErZn3Pt4 (PBE-GGA, Alexandria).

Geometry as POSCAR:
```
ErZn3Pt4
1.0
-2.8894 -1.2919 -3.5708
3.4052 -4.6780 -1.0628
-5.0411 -5.0078 5.8910
Zn Pt Er
6 8 2
direct
0.0000 0.0000 0.0000 Zn
0.0000 0.0000 0.5000 Zn
0.6063 0.0000 0.7500 Zn
0.3937 0.0000 0.2500 Zn
0.5655 0.5000 0.7500 Zn
0.4345 0.5000 0.2500 Zn
0.5000 0.7625 0.0000 Pt
0.5000 0.7625 0.5000 Pt
0.5000 0.2375 0.0000 Pt
0.5000 0.2375 0.5000 Pt
0.1060 0.7682 0.7500 Pt
0.8940 0.7682 0.2500 Pt
0.8940 0.2318 0.2500 Pt
0.1060 0.2318 0.7500 Pt
0.0000 0.5000 0.0000 Er
0.0000 0.5000 0.5000 Er
```

Calculated values
The total energy comes out at -4.786 eV/atom. For the formation energy, the calculation gives -0.72 eV per atom. For the calculated density, the calculation gives 14.7 Mg/m³. The symmetry is Pmma, No. 51.


# 5
# ErZn12Pt6

An optimized crystal structure of ErZn12Pt6 (PBE-GGA, Alexandria).

Geometry as POSCAR:
```
ErZn12Pt6
1.0
7.1804 -0.0632 -0.0890
-1.8411 6.9406 -0.0890
-1.8411 -2.3716 6.5235
Er Zn Pt
1 12 6
direct
0.0000 0.0000 0.0000 Er
0.8899 0.1101 0.5000 Zn
0.8619 0.6152 0.6152 Zn
0.6152 0.6152 0.8619 Zn
0.3848 0.1381 0.3848 Zn
0.3848 0.3848 0.1381 Zn
0.1381 0.3848 0.3848 Zn
0.1101 0.5000 0.8899 Zn
0.5000 0.8899 0.1101 Zn
0.1101 0.8899 0.5000 Zn
0.8899 0.5000 0.1101 Zn
0.5000 0.1101 0.8899 Zn
0.6152 0.8619 0.6152 Zn
0.7116 0.2827 0.2827 Pt
0.2827 0.2827 0.7116 Pt
0.2827 0.7116 0.2827 Pt
0.7173 0.7173 0.2884 Pt
0.2884 0.7173 0.7173 Pt
0.7173 0.2884 0.7173 Pt
```

Calculated values
The total energy comes out at -3.324 eV/atom. For the formation energy, the calculation gives -0.37 eV per atom. For the calculated density, the calculation gives 11.0 Mg/m³. The symmetry is R-3m, No. 166.


# 6
# Er4Zn2Pt

An optimized crystal structure of Er4Zn2Pt (PBE-GGA, Alexandria).

Geometry as POSCAR:
```
Er4Zn2Pt
1.0
5.6767 0.0160 -1.9879
-2.8249 4.9030 -2.0389
0.0092 -0.0160 6.0147
Er Zn Pt
4 2 1
direct
0.5000 0.0000 0.0000 Er
0.5000 0.5000 0.5000 Er
0.0000 0.0000 0.5000 Er
0.0000 0.5000 0.0000 Er
0.5000 0.5000 0.0000 Zn
0.5000 0.0000 0.5000 Zn
0.0000 0.0000 0.0000 Pt
```

Calculated values
The total energy comes out at -4.351 eV/atom. For the formation energy, the calculation gives -0.52 eV per atom. For the calculated density, the calculation gives 9.9 Mg/m³. The symmetry is I4/mmm, No. 139.